No. 1
## CaBeP2 (PBE)

Data for a relaxed structure of CaBeP2.

SG: P4/mmm, No. 123
Crystal system: tetragonal
ΔE_f, meV per atom: -145

abc: 3.3447 3.3447 5.8327
angles: 90.00 90.00 90.00
With the nearest neighbours (Å) after each atom.
Positions (direct):
P: 0.0000 0.0000 0.4362  1 P 2.17
P: 0.0000 0.0000 0.0638  1 P 2.17
Be: 0.5000 0.5000 0.2500  8 P 2.60
Ca: 0.5000 0.5000 0.7500  2 Be 2.92, 8 P 2.99

=====

No. 2
## NaAcGeSb (PBE)

Data for a relaxed structure of NaAcGeSb.

SG: F-43m, No. 216
Crystal system: cubic
Electronic total energy, eV per atom: -3.934

abc: 5.4801 5.4801 5.4801
angles: 60.00 60.00 60.00
With the nearest neighbours (Å) after each atom.
Positions (direct):
Na: 0.7500 0.7500 0.7500  4 Ge 3.36, 4 Sb 3.36
Ge: 0.5000 0.5000 0.5000  4 Na 3.36, 4 Ac 3.36
Sb: 0.0000 0.0000 0.0000  4 Ac 3.36, 4 Na 3.36
Ac: 0.2500 0.2500 0.2500  4 Ge 3.36, 4 Sb 3.36

=====

No. 3
## Er2FeHgC (PBE)

Data for a relaxed structure of Er2FeHgC.

SG: P4/mmm, No. 123
Crystal system: tetragonal
ΔE_f, meV per atom: -397

abc: 3.7090 4.9734 4.9734
angles: 90.00 90.00 90.00
With the nearest neighbours (Å) after each atom.
Positions (direct):
Fe: 0.5000 0.0000 0.0000  2 C 1.85
Hg: 0.5000 0.5000 0.5000  8 Er 3.10
C: 0.0000 0.0000 0.0000  2 Fe 1.85
Er: 0.0000 0.0000 0.5000  2 C 2.49
Er: 0.0000 0.5000 0.0000  2 C 2.49

=====

No. 4
## CaLa2Ho2 (PBE)

Data for a relaxed structure of CaLa2Ho2.

SG: Cmmm, No. 65
Crystal system: orthorhombic
ΔE_f, meV per atom: 38

abc: 5.6211 3.6066 9.3748
angles: 90.02 107.45 90.00
With the nearest neighbours (Å) after each atom.
Positions (direct):
La: 0.3775 0.0002 0.7550  2 La 3.61, 6 Ho 3.62-3.64, 4 Ca 3.99-4.00
La: 0.6225 0.9998 0.2450  2 La 3.61, 6 Ho 3.62-3.64, 4 Ca 3.99-4.00
Ho: 0.7990 0.5001 0.5981  4 Ho 3.31-3.61, 1 Ca 3.59, 6 La 3.62-3.64
Ho: 0.2010 0.4999 0.4019  4 Ho 3.31-3.61, 1 Ca 3.59, 6 La 3.62-3.64
Ca: 0.0000 0.5000 0.0000  2 Ho 3.59, 2 Ca 3.61, 8 La 3.99-4.00

=====

No. 5
## V5GeC (PBE)

Data for a relaxed structure of V5GeC.

SG: C2/c, No. 15
Crystal system: monoclinic
ΔE_f, meV per atom: -251

abc: 4.9855 4.9855 7.3333
angles: 97.09 97.09 94.76
With the nearest neighbours (Å) after each atom.
Positions (direct):
V: 0.3621 0.1769 0.4717  1 C 1.99
V: 0.1148 0.8852 0.7500  2 C 2.02
V: 0.0999 0.6414 0.3637  1 C 2.07
V: 0.1769 0.3621 0.9717  1 C 1.99
V: 0.3586 0.9001 0.1363  1 C 2.07
V: 0.9001 0.3586 0.6363  1 C 2.07
V: 0.6379 0.8231 0.5283  1 C 1.99
V: 0.8852 0.1148 0.2500  2 C 2.02
V: 0.6414 0.0999 0.8637  1 C 2.07
V: 0.8231 0.6379 0.0283  1 C 1.99
C: 0.0000 0.0000 0.5000  6 V 1.99-2.07
C: 0.0000 0.0000 0.0000  6 V 1.99-2.07
Ge: 0.4572 0.5428 0.7500  7 V 2.47-2.65
Ge: 0.5428 0.4572 0.2500  7 V 2.47-2.65

=====

No. 6
## CrSiPb2 (PBE)

Data for a relaxed structure of CrSiPb2.

SG: Cmmm, No. 65
Crystal system: orthorhombic
Electronic total energy, eV per atom: -5.017

abc: 5.1827 5.1827 3.5412
angles: 90.00 90.00 101.37
With the nearest neighbours (Å) after each atom.
Positions (direct):
Pb: 0.0000 0.0000 0.0000  4 Cr 3.14, 4 Si 3.14, 2 Pb 3.28
Pb: 0.5000 0.5000 0.0000  4 Si 3.14, 4 Cr 3.14, 2 Pb 3.28
Cr: 0.0000 0.5000 0.5000  8 Pb 3.14, 2 Si 3.28
Si: 0.5000 0.0000 0.5000  8 Pb 3.14, 2 Cr 3.28

=====

no.,Fermi-level density of states (states/eV per atom),size of the total moment (μB/f.u.)
1,0.373,0.0
2,0.850,0.0
3,0.494,0.1
4,1.111,0.0
5,0.835,0.0
6,0.506,4.1